Entry from the Alexandria database: a relaxed structure of Ca2YRe (PBE-GGA).

```
data_Ca2YRe
_cell_length_a 3.571
_cell_length_b 3.571
_cell_length_c 9.209
_cell_angle_alpha 90.00
_cell_angle_beta 90.00
_cell_angle_gamma 90.00
_symmetry_space_group_name_H-M 'P 1'
_symmetry_Int_Tables_number 1
loop_
_symmetry_equiv_pos_as_xyz
'x,y,z'
loop_
_atom_site_label
_atom_site_fract_x
_atom_site_fract_y
_atom_site_fract_z
Ca1 0.000 0.000 0.000
Ca2 0.500 0.500 0.337
Y1 0.500 0.500 0.693
Re1 0.000 0.000 0.538
```

- Excess energy over the best structure of this formula in the dataset: 0 meV/atom
- Space group: P4mm, No. 99
- ΔE_f: 0.3864 eV per atom